Run P
Entry from Alexandria: crystalline MgBrCl2 at its relaxed geometry (GGA-PBE).

Structure (POSCAR):
```
MgBrCl2
1.0
-5.217 0.377 5.074
-6.103 -2.460 3.132
1.876 -3.331 4.012
Br Cl Mg
1 2 1
Direct
0.912 0.912 0.693
0.917 0.917 0.186
0.145 0.145 0.276
0.526 0.526 0.345
```

Values from the calculation:
DOS at the Fermi energy = 0.3824 states/eV/atom



Run Q
Entry from Alexandria: crystalline MgBrCl2 at its relaxed geometry (GGA-PBE).

Structure (POSCAR):
```
MgBrCl2
1.0
12.262 0.200 0.118
11.696 3.686 0.118
11.696 1.897 3.163
Br Cl Mg
1 2 1
Direct
0.750 0.750 0.750
0.956 0.956 0.956
0.544 0.544 0.544
0.250 0.250 0.250
```

Values from the calculation:
DOS at the Fermi energy = 0.6080 states/eV/atom



run Q is preferred energetically. Next in line: 74 meV/atom higher.



Run P
Entry from Alexandria: crystalline NaScC at its relaxed geometry (GGA-PBE).

Structure (POSCAR):
```
NaScC
1.0
3.650 -0.003 0.000
1.832 3.158 -0.002
-0.016 0.032 11.006
Sc Na C
2 2 2
Direct
0.441 0.285 0.240
0.110 0.950 0.437
0.107 0.954 0.023
0.782 0.619 0.726
0.775 0.617 0.337
0.774 0.618 0.196
```

Values from the calculation:
DOS at the Fermi energy = 0.7711 states/eV/atom



Run Q
Entry from Alexandria: crystalline NaScC at its relaxed geometry (GGA-PBE).

Structure (POSCAR):
```
NaScC
1.0
-9.397 3.473 7.136
-2.408 -2.500 -0.276
2.725 -0.436 2.123
Sc Na C
2 2 2
Direct
0.768 0.809 0.191
0.974 0.007 0.993
0.249 0.159 0.841
0.539 0.626 0.374
0.675 0.203 0.797
0.899 0.389 0.611
```

Values from the calculation:
DOS at the Fermi energy = 0.5044 states/eV/atom



run P is preferred energetically. Next in line: 151 meV/atom higher.



Run P
Entry from Alexandria: crystalline MoBr at its relaxed geometry (GGA-PBE).

Structure (POSCAR):
```
MoBr
1.0
5.084 -0.008 0.000
1.639 4.813 0.000
-3.362 -2.403 2.963
Mo Br
2 2
Direct
0.500 0.500 0.000
0.750 0.250 0.500
0.000 0.000 0.000
0.250 0.750 0.500
```

Values from the calculation:
DOS at the Fermi energy = 0.6435 states/eV/atom



Run Q
Entry from Alexandria: crystalline MoBr at its relaxed geometry (GGA-PBE).

Structure (POSCAR):
```
MoBr
1.0
7.078 0.000 0.000
0.000 7.078 0.000
0.000 0.000 7.078
Mo Br
6 6
Direct
0.250 0.000 0.500
0.750 0.000 0.500
0.000 0.500 0.250
0.000 0.500 0.750
0.500 0.250 0.000
0.500 0.750 0.000
0.250 0.500 0.000
0.750 0.500 0.000
0.500 0.000 0.250
0.500 0.000 0.750
0.000 0.250 0.500
0.000 0.750 0.500
```

Values from the calculation:
DOS at the Fermi energy = 1.3058 states/eV/atom



run P is preferred energetically. Next in line: 406 meV/atom higher.